This record from the Alexandria database describes a relaxed structure of PmNdSnGe. The functional is PBE.

M_tot   0.000 μB/atom
Formation energy   -0.544 eV/atom
SG   No. 216
DFT total energy   -20.31 eV/cell

Unit cell a=5.367 b=5.367 c=5.367 alpha=60.00 beta=60.00 gamma=60.00
Sites, in units of the cell vectors:
Pm1 0.000 0.000 0.000
Nd1 0.500 0.500 0.500
Sn1 0.750 0.750 0.750
Ge1 0.250 0.250 0.250